1.
! BPbSe2, PBEsol geometry, DFT SCAN; values from VASP
! - Formation energy from raw total energies: 1.020 eV/atom
! - Space group: No. 225
&SYSTEM
  ibrav = 0, nat = 4, ntyp = 3
/
ATOMIC_SPECIES
Pb 207.20 Pb.upf
Se 78.96 Se.upf
B 10.81 B.upf
CELL_PARAMETERS angstrom
4.873 0.000 0.000
2.437 4.220 0.000
2.437 1.407 3.979
ATOMIC_POSITIONS crystal
Pb 0.500 0.500 0.500
Se 0.750 0.750 0.750
Se 0.250 0.250 0.250
B 0.000 0.000 0.000


2.
! BeCrSb2, PBEsol geometry, DFT SCAN; values from VASP
! - Formation energy from raw total energies: 0.272 eV/atom
! - Space group: No. 99
&SYSTEM
  ibrav = 0, nat = 4, ntyp = 3
/
ATOMIC_SPECIES
Sb 121.76 Sb.upf
Cr 52.00 Cr.upf
Be 9.01 Be.upf
CELL_PARAMETERS angstrom
3.159 0.000 0.000
0.000 3.159 0.000
0.000 0.000 7.297
ATOMIC_POSITIONS crystal
Sb 0.500 0.500 0.330
Sb 0.000 0.000 0.910
Cr 0.500 0.500 0.696
Be 0.000 0.000 0.564


3.
! CaCrMo4, PBEsol geometry, DFT SCAN; values from VASP
! - DFT formation energy: 0.674 eV/atom
! - Space group: No. 216
&SYSTEM
  ibrav = 0, nat = 6, ntyp = 3
/
ATOMIC_SPECIES
Mo 95.94 Mo.upf
Cr 52.00 Cr.upf
Ca 40.08 Ca.upf
CELL_PARAMETERS angstrom
-1.428 1.879 4.683
3.163 -0.596 4.140
2.479 4.153 2.025
ATOMIC_POSITIONS crystal
Mo 0.375 0.375 0.875
Mo 0.375 0.375 0.375
Mo 0.875 0.375 0.375
Mo 0.375 0.875 0.375
Cr 0.000 0.000 0.000
Ca 0.750 0.750 0.750


4.
! ZrAl2Cu2, PBEsol geometry, DFT SCAN; values from VASP
! - DFT formation energy: -0.444 eV/atom
! - Energy above the most stable polymorph in this dataset: 0.00 eV per formula unit
! - Space group: No. 129
&SYSTEM
  ibrav = 0, nat = 10, ntyp = 3
/
ATOMIC_SPECIES
Al 26.98 Al.upf
Cu 63.55 Cu.upf
Zr 91.22 Zr.upf
CELL_PARAMETERS angstrom
3.898 0.000 0.000
0.000 3.898 0.000
0.000 0.000 10.078
ATOMIC_POSITIONS crystal
Al 0.500 0.500 0.500
Al 0.000 0.500 0.865
Al 0.000 0.000 0.500
Al 0.500 0.000 0.135
Cu 0.000 0.500 0.640
Cu 0.500 0.000 0.360
Cu 0.000 0.000 0.000
Cu 0.500 0.500 0.000
Zr 0.000 0.500 0.251
Zr 0.500 0.000 0.749


5.
! CsBi2P2, PBEsol geometry, DFT SCAN; values from VASP
! - DFT formation energy: -0.076 eV/atom
! - Energy above the most stable polymorph in this dataset: 0.00 eV per formula unit
! - Space group: No. 139
&SYSTEM
  ibrav = 0, nat = 5, ntyp = 3
/
ATOMIC_SPECIES
P 30.97 P.upf
Cs 132.91 Cs.upf
Bi 208.98 Bi.upf
CELL_PARAMETERS angstrom
5.222 0.000 0.000
0.000 5.222 0.000
-2.611 -2.611 5.667
ATOMIC_POSITIONS crystal
P 0.250 0.750 0.500
P 0.750 0.250 0.500
Cs 0.000 0.000 0.000
Bi 0.660 0.660 0.321
Bi 0.340 0.340 0.679


6.
! TmNi4Au, PBEsol geometry, DFT SCAN; values from VASP
! - DFT formation energy: -0.420 eV/atom
! - Space group: No. 216
&SYSTEM
  ibrav = 0, nat = 6, ntyp = 3
/
ATOMIC_SPECIES
Ni 58.69 Ni.upf
Au 196.97 Au.upf
Tm 168.93 Tm.upf
CELL_PARAMETERS angstrom
-4.387 -1.560 -1.251
-0.463 -3.710 -3.045
-1.595 -4.255 1.610
ATOMIC_POSITIONS crystal
Ni 0.376 0.376 0.376
Ni 0.376 0.873 0.376
Ni 0.376 0.376 0.873
Ni 0.873 0.376 0.376
Au 0.750 0.750 0.750
Tm 0.000 0.000 0.000


7.
! ReSi, PBEsol geometry, DFT SCAN; values from VASP
! - Formation energy from raw total energies: -0.232 eV/atom
! - Space group: No. 12
&SYSTEM
  ibrav = 0, nat = 4, ntyp = 2
/
ATOMIC_SPECIES
Re 186.21 Re.upf
Si 28.09 Si.upf
CELL_PARAMETERS angstrom
-2.094 -0.517 -2.073
1.156 -4.191 -0.123
-2.006 0.657 4.021
ATOMIC_POSITIONS crystal
Re 0.620 0.819 0.240
Re 0.380 0.181 0.760
Si 0.127 0.343 0.253
Si 0.873 0.657 0.747


8.
! K3Tl, PBEsol geometry, DFT SCAN; values from VASP
! - DFT formation energy: -0.018 eV/atom
! - Space group: No. 221
&SYSTEM
  ibrav = 0, nat = 4, ntyp = 2
/
ATOMIC_SPECIES
K 39.10 K.upf
Tl 204.38 Tl.upf
CELL_PARAMETERS angstrom
5.707 0.000 0.000
0.000 5.707 0.000
0.000 0.000 5.707
ATOMIC_POSITIONS crystal
K 0.500 0.500 0.000
K 0.000 0.500 0.500
K 0.500 0.000 0.500
Tl 0.000 0.000 0.000


9.
! LiCaAg2, PBEsol geometry, DFT SCAN; values from VASP
! - DFT formation energy: -0.246 eV/atom
! - Energy above the most stable polymorph in this dataset: 0.00 eV per formula unit
! - Space group: No. 166
&SYSTEM
  ibrav = 0, nat = 4, ntyp = 3
/
ATOMIC_SPECIES
Li 6.94 Li.upf
Ag 107.87 Ag.upf
Ca 40.08 Ca.upf
CELL_PARAMETERS angstrom
4.527 0.000 0.000
2.264 3.921 0.000
2.264 1.307 4.863
ATOMIC_POSITIONS crystal
Li 0.500 0.500 0.500
Ag 0.791 0.791 0.626
Ag 0.209 0.209 0.374
Ca 0.000 0.000 0.000


10.
! Co5Cu, PBEsol geometry, DFT SCAN; values from VASP
! - DFT formation energy: 0.107 eV/atom
! - Energy above the most stable polymorph in this dataset: 0.09 eV per formula unit
! - Space group: No. 8
&SYSTEM
  ibrav = 0, nat = 6, ntyp = 2
/
ATOMIC_SPECIES
Co 58.93 Co.upf
Cu 63.55 Cu.upf
CELL_PARAMETERS angstrom
2.462 0.000 0.000
-1.231 4.538 0.002
0.000 -1.526 5.626
ATOMIC_POSITIONS crystal
Co 0.389 0.779 0.281
Co 0.054 0.108 0.604
Co 0.667 0.334 0.336
Co 0.337 0.674 0.666
Co 0.999 0.997 0.003
Cu 0.721 0.441 0.942


11.
! ZnGa3, PBEsol geometry, DFT SCAN; values from VASP
! - DFT formation energy: 0.117 eV/atom
! - Space group: No. 221
&SYSTEM
  ibrav = 0, nat = 4, ntyp = 2
/
ATOMIC_SPECIES
Ga 69.72 Ga.upf
Zn 65.41 Zn.upf
CELL_PARAMETERS angstrom
-2.429 -1.462 -2.897
-2.747 -0.998 2.808
-1.726 3.646 -0.392
ATOMIC_POSITIONS crystal
Ga 0.500 0.500 0.000
Ga 0.500 0.000 0.500
Ga 0.000 0.500 0.500
Zn 0.000 0.000 0.000


12.
! LiAsPSe2, PBEsol geometry, DFT SCAN; values from VASP
! - Energy above the most stable polymorph in this dataset: 0.00 eV per formula unit
! - Formation energy from raw total energies: 0.231 eV/atom
! - Space group: No. 123
&SYSTEM
  ibrav = 0, nat = 5, ntyp = 4
/
ATOMIC_SPECIES
Se 78.96 Se.upf
Li 6.94 Li.upf
As 74.92 As.upf
P 30.97 P.upf
CELL_PARAMETERS angstrom
-0.476 3.568 -3.016
2.661 -2.436 -3.302
-4.074 -2.043 -1.774
ATOMIC_POSITIONS crystal
Se 0.000 0.500 0.000
Se 0.000 0.000 0.500
Li 0.500 0.500 0.500
As 0.500 0.000 0.000
P 0.000 0.000 0.000


Calculated uncorrected energy, -2.192; -1.767; -2.003; -1.159; -3.177; -2.305; -2.998; -1.790; -1.392; -1.238; -1.141; -1.058 Ry/atom (same order as the records).